(1)
## LiCo3Te5 (PBE-GGA)

Data for a relaxed structure of LiCo3Te5.

Computed properties:
Electronic total energy (eV/atom): -4.36
V (Å³ per atom): 23.24
Magnetic moment (μB/atom): 0.2080

Lattice parameters (Å, degrees): 5.6546 5.6546 7.5530 90.00 90.00 120.00
Closest atoms and distances in Å follow each position.
Element x y z (fractional)
Li 0.0000 0.0000 0.0000  14 Te 3.74-3.78
Co 0.0000 0.5000 0.5000  6 Te 2.55-2.83, 4 Co 2.83
Co 0.5000 0.0000 0.5000  6 Te 2.55-2.83, 4 Co 2.83
Co 0.5000 0.5000 0.5000  6 Te 2.55-2.83, 4 Co 2.83
Te 0.0000 0.0000 0.5000  6 Co 2.83
Te 0.3333 0.6667 0.2412  3 Co 2.55
Te 0.3333 0.6667 0.7588  3 Co 2.55
Te 0.6667 0.3333 0.2412  3 Co 2.55
Te 0.6667 0.3333 0.7588  3 Co 2.55

=====

(2)
## LiCoTe (PBE-GGA)

Data for a relaxed structure of LiCoTe.

Computed properties:
V (Å³ per atom): 16.87
Energy above the lowest structure with this stoichiometry (meV/atom): 0
Magnetic moment (μB/atom): 0.2676

Lattice parameters (Å, degrees): 4.1520 4.1520 4.1520 60.00 60.00 60.00
Closest atoms and distances in Å follow each position.
Element x y z (fractional)
Li 0.0000 0.0000 0.0000  4 Co 2.54
Co 0.2500 0.2500 0.2500  4 Te 2.54, 4 Li 2.54
Te 0.5000 0.5000 0.5000  4 Co 2.54

=====

(3)
## Li2Co3Te (PBE-GGA)

Data for a relaxed structure of Li2Co3Te.

Computed properties:
Electronic total energy (eV/atom): -4.60
V (Å³ per atom): 11.94
Magnetic moment (μB/atom): 0.0015

Lattice parameters (Å, degrees): 4.0735 4.0735 4.9840 90.00 90.00 120.00
Closest atoms and distances in Å follow each position.
Element x y z (fractional)
Li 0.3333 0.6667 0.3459  8 Co 2.42-2.56
Li 0.6667 0.3333 0.6541  8 Co 2.42-2.56
Co 0.0000 0.0000 0.5000  6 Li 2.47, 2 Te 2.49
Co 0.3333 0.6667 0.8315  5 Li 2.42-2.56, 3 Te 2.50
Co 0.6667 0.3333 0.1685  5 Li 2.42-2.56, 3 Te 2.50
Te 0.0000 0.0000 0.0000  8 Co 2.49-2.50

=====

(4)
## LiYCoTe3 (PBE-GGA)

Data for a relaxed structure of LiYCoTe3.

Computed properties:
Electronic total energy (eV/atom): -4.90
V (Å³ per atom): 27.23
Magnetic moment (μB/atom): 0.3598

Lattice parameters (Å, degrees): 7.3692 7.3692 11.2841 90.00 90.00 147.78
Closest atoms and distances in Å follow each position.
Element x y z (fractional)
Li 0.1817 0.8183 0.7500  4 Te 2.87, 2 Co 3.02
Li 0.8183 0.1817 0.2500  4 Te 2.87, 2 Co 3.02
Y 0.0000 0.0000 0.0000  6 Te 3.05-3.07
Y 0.0000 0.0000 0.5000  6 Te 3.05-3.07
Co 0.4749 0.5251 0.2500  4 Te 2.57-2.60
Co 0.5251 0.4749 0.7500  4 Te 2.57-2.60
Te 0.0851 0.9149 0.2500  2 Co 2.57
Te 0.3530 0.6470 0.0774  1 Co 2.60, 2 Li 2.87
Te 0.3530 0.6470 0.4226  1 Co 2.60, 2 Li 2.87
Te 0.6470 0.3530 0.5774  1 Co 2.60, 2 Li 2.87
Te 0.6470 0.3530 0.9226  1 Co 2.60, 2 Li 2.87
Te 0.9149 0.0851 0.7500  2 Co 2.57

=====

(5)
## LiZnCoTe (PBE-GGA)

Data for a relaxed structure of LiZnCoTe.

Computed properties:
V (Å³ per atom): 14.91
Energy above the lowest structure with this stoichiometry (meV/atom): 0
Magnetic moment (μB/atom): 0.0002

Lattice parameters (Å, degrees): 4.3858 4.3858 4.3858 60.00 60.00 60.00
Closest atoms and distances in Å follow each position.
Element x y z (fractional)
Li 0.0000 0.0000 0.0000  4 Te 2.69, 4 Zn 2.69
Zn 0.7500 0.7500 0.7500  4 Li 2.69, 4 Co 2.69
Co 0.5000 0.5000 0.5000  4 Te 2.69, 4 Zn 2.69
Te 0.2500 0.2500 0.2500  4 Co 2.69, 4 Li 2.69

=====

(6)
## LiZnCoTe (PBE-GGA)

Data for a relaxed structure of LiZnCoTe.

Computed properties:
V (Å³ per atom): 16.83
Energy above the lowest structure with this stoichiometry (meV/atom): 332
Magnetic moment (μB/atom): 0.3533

Lattice parameters (Å, degrees): 4.5666 4.5666 4.5666 60.00 60.00 60.00
Closest atoms and distances in Å follow each position.
Element x y z (fractional)
Li 0.0000 0.0000 0.0000  4 Co 2.80, 4 Te 2.80
Zn 0.5000 0.5000 0.5000  4 Te 2.80, 4 Co 2.80
Co 0.7500 0.7500 0.7500  4 Zn 2.80, 4 Li 2.80
Te 0.2500 0.2500 0.2500  4 Zn 2.80, 4 Li 2.80